[1]
HfScIr2: relaxed, PBE-GGA.

The calculation puts the calculated formation energy at -0.418 eV per atom. As for the energy above the most stable polymorph in this dataset: 565.7 meV per atom.

a = 7.1193 Å, b = 7.1193 Å, c = 5.9008 Å
α = 90.00°, β = 90.00°, γ = 90.00°
With the nearest neighbours (Å) after each atom.
Space group I-42d (No. 122)
Unique sites:
Hf 0.0000 0.0000 0.0000 (multiplicity 4)  4 Ir 2.60
Sc 0.0000 0.0000 0.5000 (multiplicity 4)  4 Ir 2.64, 2 Hf 2.95
Ir 0.2460 0.2500 0.1250 (multiplicity 8)  2 Hf 2.60, 2 Sc 2.64

---

[2]
Pm4CoNi: relaxed, PBE-GGA.

The calculation puts the calculated formation energy at -0.075 eV per atom.

a = 9.1125 Å, b = 13.9781 Å, c = 6.7780 Å
α = 90.00°, β = 130.82°, γ = 90.00°
With the nearest neighbours (Å) after each atom.
Space group C2/c (No. 15)
Unique sites:
Pm 0.1739 0.2172 0.1678 (multiplicity 8)  1 Co 2.62, 1 Ni 2.90
Pm 0.2476 0.0322 0.7666 (multiplicity 8)  2 Co 2.79-2.82, 1 Ni 2.85
Co 0.0000 0.0952 0.2500 (multiplicity 4)  6 Pm 2.62-2.82
Ni 0.0000 0.3682 0.7500 (multiplicity 4)  6 Pm 2.85-3.02

---

[3]
ScTlSn: relaxed, PBE-GGA.

The calculation puts the calculated formation energy at -0.238 eV per atom. As for the energy above the most stable polymorph in this dataset: 43.7 meV per atom.

a = 9.8551 Å, b = 6.8630 Å, c = 6.8453 Å
α = 90.00°, β = 133.97°, γ = 90.00°
With the nearest neighbours (Å) after each atom.
Space group Cc (No. 9)
Unique sites:
Sc 0.0000 0.1986 0.0000 (multiplicity 4)  4 Tl 2.98-3.08, 4 Sn 2.98-3.08
Tl 0.2863 0.0021 0.0339 (multiplicity 4)  4 Sc 2.98-3.08, 1 Sn 3.03
Sn 0.2137 0.4996 0.4642 (multiplicity 4)  4 Sc 2.98-3.08, 1 Tl 3.03

---

[4]
NdErCu: relaxed, PBE-GGA.

The calculation puts the calculated formation energy at -0.115 eV per atom. As for the energy above the most stable polymorph in this dataset: 0.0 meV per atom.

a = 3.5158 Å, b = 3.5158 Å, c = 12.4984 Å
α = 90.00°, β = 90.00°, γ = 90.00°
With the nearest neighbours (Å) after each atom.
Space group I4mm (No. 107)
Unique sites:
Nd 0.0000 0.0000 0.0000 (multiplicity 2)  4 Cu 3.17, 1 Er 3.47, 4 Nd 3.52
Er 0.0000 0.0000 0.2779 (multiplicity 2)  4 Cu 2.91
Cu 0.0000 0.0000 0.6570 (multiplicity 2)  4 Er 2.91, 4 Nd 3.17

---

[5]
LaCr2Br: relaxed, PBE-GGA.

The calculation puts the raw formation energy at 635 meV/atom. As for the energy above the most stable polymorph in this dataset: 621.1 meV per atom.

a = 4.5829 Å, b = 4.5829 Å, c = 17.4065 Å
α = 90.00°, β = 90.00°, γ = 90.00°
With the nearest neighbours (Å) after each atom.
Space group I-42d (No. 122)
Unique sites:
La 0.0000 0.0000 0.0000 (multiplicity 4)  4 Br 3.24, 8 Cr 3.30-3.43
Cr 0.0212 0.2500 0.6250 (multiplicity 8)  2 Cr 2.30, 2 Br 2.46
Br 0.0000 0.0000 0.5000 (multiplicity 4)  4 Cr 2.46

---

[6]
CsFe3Pt: relaxed, PBE-GGA.

The calculation puts the calculated formation energy at 0.976 eV per atom.

a = 4.9500 Å, b = 4.9500 Å, c = 4.9500 Å
α = 90.00°, β = 90.00°, γ = 90.00°
With the nearest neighbours (Å) after each atom.
Space group Pm-3m (No. 221)
Unique sites:
Cs 0.0000 0.0000 0.0000 (multiplicity 1)  12 Fe 3.50
Fe 0.0000 0.5000 0.5000 (multiplicity 3)  2 Pt 2.47
Pt 0.5000 0.5000 0.5000 (multiplicity 1)  6 Fe 2.47

---

Calculated total energy, respectively: -8.92 -5.39 -4.47 -4.59 -5.83 -5.48 eV per atom.